(1)
Computed, not measured: a relaxed TaReS3 crystal at the GGA-PBE level of DFT.

Computed properties:
- Symmetry: Pm-3m, No. 221
- Magnetic moment: 5.62 Bohr magnetons per cell
- Energy relative to the lowest polymorph listed for this composition: 0.00 kJ per mole of atoms
- Formation energy without anion corrections: 17.0 kcal/mol of atoms
- Crystal system: cubic
- D(E_F): 1.9 states/eV/cell

Cell lengths 4.7911, 4.7911, 4.7911 Å; angles 90.00, 90.00, 90.00 degrees
Last column: nearest neighbours and their distance in Å.
Atoms (fractional coordinates):
Ta 0.0000 0.0000 0.0000  6 S 2.40
Re 0.5000 0.5000 0.5000  12 S 3.39
S 0.0000 0.0000 0.5000  2 Ta 2.40
S 0.0000 0.5000 0.0000  2 Ta 2.40
S 0.5000 0.0000 0.0000  2 Ta 2.40



(2)
Computed, not measured: a relaxed Na2CaBiH crystal at the GGA-PBE level of DFT.

Computed properties:
- Symmetry: P4/mmm, No. 123
- Magnetic moment: 0.00 Bohr magnetons per cell
- Crystal system: tetragonal
- D(E_F): 0.0 states/eV/cell

Cell lengths 4.7463, 4.7463, 5.1031 Å; angles 90.00, 90.00, 90.00 degrees
Last column: nearest neighbours and their distance in Å.
Atoms (fractional coordinates):
Na 0.0000 0.5000 0.0000  2 H 2.37
Na 0.5000 0.0000 0.0000  2 H 2.37
Ca 0.0000 0.0000 0.5000  2 H 2.55
Bi 0.5000 0.5000 0.5000  4 Ca 3.36, 8 Na 3.48
H 0.0000 0.0000 0.0000  4 Na 2.37, 2 Ca 2.55



(3)
Computed, not measured: a relaxed SiCl crystal at the GGA-PBE level of DFT.

Computed properties:
- Symmetry: P2_12_12_1, No. 19
- Magnetic moment: 0.00 Bohr magnetons per cell
- Energy relative to the lowest polymorph listed for this composition: 36.51 kJ per mole of atoms
- Formation energy without anion corrections: -6.8 kcal/mol of atoms
- Crystal system: orthorhombic
- D(E_F): 0.0 states/eV/cell

Cell lengths 6.2263, 7.8231, 8.5810 Å; angles 90.00, 90.00, 90.00 degrees
Last column: nearest neighbours and their distance in Å.
Atoms (fractional coordinates):
Si 0.0204 0.0593 0.0703  1 Cl 2.33, 2 Si 2.40
Si 0.2326 0.3156 0.0764  2 Cl 2.11-2.35
Si 0.2674 0.6844 0.5764  2 Cl 2.11-2.35
Si 0.4796 0.9407 0.5703  1 Cl 2.33, 2 Si 2.40
Si 0.5204 0.4407 0.9297  1 Cl 2.33, 2 Si 2.40
Si 0.7326 0.1844 0.9236  2 Cl 2.11-2.35
Si 0.7674 0.8156 0.4236  2 Cl 2.11-2.35
Si 0.9796 0.5593 0.4297  1 Cl 2.33, 2 Si 2.40
Cl 0.0604 0.7152 0.7690  1 Si 2.11
Cl 0.0703 0.5690 0.1662  2 Si 2.33-2.35
Cl 0.4297 0.4310 0.6662  2 Si 2.33-2.35
Cl 0.4396 0.2848 0.2690  1 Si 2.11
Cl 0.5604 0.7848 0.2310  1 Si 2.11
Cl 0.5703 0.9310 0.8338  2 Si 2.33-2.35
Cl 0.9297 0.0690 0.3338  2 Si 2.33-2.35
Cl 0.9396 0.2152 0.7310  1 Si 2.11



(4)
Computed, not measured: a relaxed La5TbPm2Dy crystal at the GGA-PBE level of DFT.

Computed properties:
- Symmetry: I4/mcm, No. 140
- Magnetic moment: 0.00 Bohr magnetons per cell
- Crystal system: tetragonal
- D(E_F): 35.4 states/eV/cell

Cell lengths 10.3118, 10.3118, 10.3118 Å; angles 129.12, 129.12, 74.82 degrees
Last column: nearest neighbours and their distance in Å.
Atoms (fractional coordinates):
La 0.0000 0.0000 0.0000  4 Pm 3.54, 8 La 3.93
La 0.0694 0.5694 0.9233  1 Pm 3.15, 1 Dy 3.19
La 0.1461 0.0694 0.5000  1 Pm 3.15, 1 Dy 3.19
La 0.3539 0.8539 0.9233  1 Pm 3.15, 1 Dy 3.19
La 0.4306 0.3539 0.5000  1 Pm 3.15, 1 Dy 3.19
La 0.5000 0.5000 0.0000  4 Pm 3.54, 8 La 3.93
La 0.5694 0.6461 0.5000  1 Pm 3.15, 1 Dy 3.19
La 0.6461 0.1461 0.0767  1 Pm 3.15, 1 Dy 3.19
La 0.8539 0.9306 0.5000  1 Pm 3.15, 1 Dy 3.19
La 0.9306 0.4306 0.0767  1 Pm 3.15, 1 Dy 3.19
Tb 0.2500 0.2500 0.0000  8 La 3.63
Tb 0.7500 0.7500 0.0000  8 La 3.63
Pm 0.1187 0.3813 0.5000  1 Pm 2.98, 2 La 3.15
Pm 0.3813 0.8813 0.2625  1 Pm 2.98, 2 La 3.15
Pm 0.6187 0.1187 0.7375  1 Pm 2.98, 2 La 3.15
Pm 0.8813 0.6187 0.5000  1 Pm 2.98, 2 La 3.15
Dy 0.2500 0.7500 0.5000  4 La 3.19
Dy 0.7500 0.2500 0.5000  4 La 3.19



(5)
Computed, not measured: a relaxed Sr2LiGe crystal at the GGA-PBE level of DFT.

Computed properties:
- Symmetry: I-42d, No. 122
- Magnetic moment: 0.00 Bohr magnetons per cell
- Crystal system: tetragonal
- D(E_F): 14.4 states/eV/cell

Cell lengths 5.3118, 5.3118, 20.8645 Å; angles 90.00, 90.00, 90.00 degrees
Last column: nearest neighbours and their distance in Å.
Atoms (fractional coordinates):
Sr 0.2291 0.2500 0.1250  2 Ge 3.17, 2 Li 3.26
Sr 0.2500 0.7291 0.3750  2 Ge 3.17, 2 Li 3.26
Sr 0.2500 0.7709 0.8750  2 Ge 3.17, 2 Li 3.26
Sr 0.2709 0.2500 0.6250  2 Ge 3.17, 2 Li 3.26
Sr 0.7291 0.7500 0.6250  2 Ge 3.17, 2 Li 3.26
Sr 0.7500 0.2291 0.8750  2 Ge 3.17, 2 Li 3.26
Sr 0.7500 0.2709 0.3750  2 Ge 3.17, 2 Li 3.26
Sr 0.7709 0.7500 0.1250  2 Ge 3.17, 2 Li 3.26
Li 0.0000 0.0000 0.5000  4 Sr 3.26
Li 0.0000 0.5000 0.7500  4 Sr 3.26
Li 0.5000 0.0000 0.2500  4 Sr 3.26
Li 0.5000 0.5000 0.0000  4 Sr 3.26
Ge 0.0000 0.0000 0.0000  4 Sr 3.17
Ge 0.0000 0.5000 0.2500  4 Sr 3.17
Ge 0.5000 0.0000 0.7500  4 Sr 3.17
Ge 0.5000 0.5000 0.5000  4 Sr 3.17



(6)
Computed, not measured: a relaxed LiPrLuNi crystal at the GGA-PBE level of DFT.

Computed properties:
- Symmetry: F-43m, No. 216
- Magnetic moment: 0.00 Bohr magnetons per cell
- Crystal system: cubic
- D(E_F): 13.1 states/eV/cell

Cell lengths 7.0356, 7.0356, 7.0356 Å; angles 90.00, 90.00, 90.00 degrees
Last column: nearest neighbours and their distance in Å.
Atoms (fractional coordinates):
Li 0.0000 0.0000 0.0000  4 Pr 3.05, 4 Lu 3.05
Li 0.0000 0.5000 0.5000  4 Pr 3.05, 4 Lu 3.05
Li 0.5000 0.0000 0.5000  4 Pr 3.05, 4 Lu 3.05
Li 0.5000 0.5000 0.0000  4 Pr 3.05, 4 Lu 3.05
Pr 0.2500 0.2500 0.7500  4 Ni 3.05, 4 Li 3.05
Pr 0.2500 0.7500 0.2500  4 Ni 3.05, 4 Li 3.05
Pr 0.7500 0.2500 0.2500  4 Ni 3.05, 4 Li 3.05
Pr 0.7500 0.7500 0.7500  4 Ni 3.05, 4 Li 3.05
Lu 0.2500 0.2500 0.2500  4 Li 3.05, 4 Ni 3.05
Lu 0.2500 0.7500 0.7500  4 Li 3.05, 4 Ni 3.05
Lu 0.7500 0.2500 0.7500  4 Li 3.05, 4 Ni 3.05
Lu 0.7500 0.7500 0.2500  4 Li 3.05, 4 Ni 3.05
Ni 0.0000 0.0000 0.5000  4 Lu 3.05, 4 Pr 3.05
Ni 0.0000 0.5000 0.0000  4 Lu 3.05, 4 Pr 3.05
Ni 0.5000 0.0000 0.0000  4 Lu 3.05, 4 Pr 3.05
Ni 0.5000 0.5000 0.5000  4 Lu 3.05, 4 Pr 3.05



(7)
Computed, not measured: a relaxed Ba3LaRu crystal at the GGA-PBE level of DFT.

Computed properties:
- Symmetry: Pm-3m, No. 221
- Magnetic moment: 0.00 Bohr magnetons per cell
- Energy relative to the lowest polymorph listed for this composition: 108.32 kJ per mole of atoms
- Crystal system: cubic
- D(E_F): 22.0 states/eV/cell

Cell lengths 6.1353, 6.1353, 6.1353 Å; angles 90.00, 90.00, 90.00 degrees
Last column: nearest neighbours and their distance in Å.
Atoms (fractional coordinates):
Ba 0.0000 0.0000 0.5000  2 La 3.07
Ba 0.0000 0.5000 0.0000  2 La 3.07
Ba 0.5000 0.0000 0.0000  2 La 3.07
La 0.0000 0.0000 0.0000  6 Ba 3.07
Ru 0.5000 0.5000 0.5000  12 Ba 4.34



(8)
Computed, not measured: a relaxed Ca3Ag2Pd crystal at the GGA-PBE level of DFT.

Computed properties:
- Symmetry: Cmmm, No. 65
- Magnetic moment: 0.00 Bohr magnetons per cell
- Crystal system: orthorhombic
- D(E_F): 6.7 states/eV/cell

Cell lengths 8.0951, 8.0951, 7.4153 Å; angles 90.00, 90.00, 142.93 degrees
Last column: nearest neighbours and their distance in Å.
Atoms (fractional coordinates):
Ca 0.0000 0.0000 0.2423  2 Pd 3.08, 6 Ag 3.14-3.20
Ca 0.0000 0.0000 0.7577  2 Pd 3.08, 6 Ag 3.14-3.20
Ca 0.3297 0.6703 0.2373  3 Pd 3.10-3.12, 5 Ag 3.15-3.26
Ca 0.3297 0.6703 0.7627  3 Pd 3.10-3.12, 5 Ag 3.15-3.26
Ca 0.6703 0.3297 0.2373  3 Pd 3.10-3.12, 5 Ag 3.15-3.26
Ca 0.6703 0.3297 0.7627  3 Pd 3.10-3.12, 5 Ag 3.15-3.26
Ag 0.1656 0.8344 0.5000  8 Ca 3.18-3.23
Ag 0.5000 0.5000 0.0000  8 Ca 3.14-3.15
Ag 0.5000 0.5000 0.5000  8 Ca 3.20-3.26
Ag 0.8344 0.1656 0.5000  8 Ca 3.18-3.23
Pd 0.1632 0.8368 0.0000  8 Ca 3.08-3.12
Pd 0.8368 0.1632 0.0000  8 Ca 3.08-3.12



(9)
Computed, not measured: a relaxed LaFeP2 crystal at the GGA-PBE level of DFT.

Computed properties:
- Symmetry: R-3m, No. 166
- Magnetic moment: 0.11 Bohr magnetons per cell
- Energy relative to the lowest polymorph listed for this composition: 0.00 kJ per mole of atoms
- Crystal system: trigonal
- D(E_F): 9.6 states/eV/cell

Cell lengths 3.8956, 3.8956, 15.5239 Å; angles 90.00, 90.00, 120.00 degrees
Last column: nearest neighbours and their distance in Å.
Atoms (fractional coordinates):
La 0.0000 0.0000 0.0000  8 P 2.97-3.24
La 0.3333 0.6667 0.6667  8 P 2.97-3.24
La 0.6667 0.3333 0.3333  8 P 2.97-3.24
Fe 0.0000 0.0000 0.5000  6 P 2.34
Fe 0.3333 0.6667 0.1667  6 P 2.34
Fe 0.6667 0.3333 0.8333  6 P 2.34
P 0.0000 0.0000 0.2087  3 Fe 2.34, 3 P 2.60
P 0.0000 0.0000 0.7913  3 Fe 2.34, 3 P 2.60
P 0.3333 0.6667 0.4580  3 Fe 2.34, 3 P 2.60
P 0.3333 0.6667 0.8753  3 Fe 2.34, 3 P 2.60
P 0.6667 0.3333 0.1247  3 Fe 2.34, 3 P 2.60
P 0.6667 0.3333 0.5420  3 Fe 2.34, 3 P 2.60



(10)
Computed, not measured: a relaxed BaGaSn crystal at the GGA-PBE level of DFT.

Computed properties:
- Symmetry: P-3m1, No. 164
- Magnetic moment: 0.00 Bohr magnetons per cell
- Crystal system: trigonal
- D(E_F): 2.4 states/eV/cell

Cell lengths 4.6263, 4.6263, 10.7016 Å; angles 90.00, 90.00, 120.00 degrees
Last column: nearest neighbours and their distance in Å.
Atoms (fractional coordinates):
Ba 0.0000 0.0000 0.2302  3 Sn 3.52, 6 Ga 3.62-3.65
Ba 0.0000 0.0000 0.7698  3 Sn 3.52, 6 Ga 3.62-3.65
Ga 0.3333 0.6667 0.0023  3 Ga 2.67
Ga 0.6667 0.3333 0.9977  3 Ga 2.67
Sn 0.3333 0.6667 0.4449  3 Sn 2.92
Sn 0.6667 0.3333 0.5551  3 Sn 2.92



(11)
Computed, not measured: a relaxed NaCu2Tc2 crystal at the GGA-PBE level of DFT.

Computed properties:
- Symmetry: P4/mbm, No. 127
- Magnetic moment: 0.00 Bohr magnetons per cell
- Crystal system: tetragonal
- D(E_F): 6.4 states/eV/cell

Cell lengths 7.9834, 7.9834, 2.4862 Å; angles 90.00, 90.00, 90.00 degrees
Last column: nearest neighbours and their distance in Å.
Atoms (fractional coordinates):
Na 0.0000 0.0000 0.0000  2 Na 2.49
Na 0.5000 0.5000 0.0000  2 Na 2.49
Cu 0.1843 0.3157 0.5000  2 Cu 2.49, 6 Tc 2.65-2.71
Cu 0.3157 0.8157 0.5000  2 Cu 2.49, 6 Tc 2.65-2.71
Cu 0.6843 0.1843 0.5000  2 Cu 2.49, 6 Tc 2.65-2.71
Cu 0.8157 0.6843 0.5000  2 Cu 2.49, 6 Tc 2.65-2.71
Tc 0.1083 0.6083 0.0000  3 Tc 2.44-2.49, 6 Cu 2.65-2.71
Tc 0.3917 0.1083 0.0000  3 Tc 2.44-2.49, 6 Cu 2.65-2.71
Tc 0.6083 0.8917 0.0000  3 Tc 2.44-2.49, 6 Cu 2.65-2.71
Tc 0.8917 0.3917 0.0000  3 Tc 2.44-2.49, 6 Cu 2.65-2.71



(12)
Computed, not measured: a relaxed POsRu2 crystal at the GGA-PBE level of DFT.

Computed properties:
- Symmetry: Immm, No. 71
- Magnetic moment: 0.00 Bohr magnetons per cell
- Crystal system: orthorhombic
- D(E_F): 5.1 states/eV/cell

Cell lengths 2.8597, 4.3065, 8.6901 Å; angles 90.00, 90.00, 90.00 degrees
Last column: nearest neighbours and their distance in Å.
Atoms (fractional coordinates):
P 0.0000 0.0000 0.0000  4 Ru 2.35, 4 Os 2.58
P 0.5000 0.5000 0.5000  4 Ru 2.35, 4 Os 2.58
Os 0.0000 0.0000 0.5000  4 P 2.58, 8 Ru 2.85-2.86, 2 Os 2.86
Os 0.5000 0.5000 0.0000  4 P 2.58, 8 Ru 2.85-2.86, 2 Os 2.86
Ru 0.0000 0.5000 0.2850  2 P 2.35
Ru 0.0000 0.5000 0.7150  2 P 2.35
Ru 0.5000 0.0000 0.2150  2 P 2.35
Ru 0.5000 0.0000 0.7850  2 P 2.35



Q: Which electronic total energy values were calculated for the entries above? A: -6.601, -2.871, -3.931, -4.547, -2.288, -4.351, -2.443, -3.257, -6.922, -3.501, -5.653, -8.839, in eV/atom.